Entry 1:
{
  "formula": "LiSiTc2",
  "functional": "SCAN",
  "state": "single point on PBEsol structure",
  "crystal_system": "orthorhombic",
  "total_energy_ev_per_atom": -20.701,
  "raw_formation_energy_ev_per_fu": -0.278,
  "magnetic_moment_mub_per_atom": 0.000,
  "lattice_angstrom": [[3.058, 0.000, 0.000], [0.000, 4.216, 0.000], [-1.529, -2.108, 3.988]],
  "species": ["Si", "Li", "Tc", "Tc"],
  "fractional_positions": [[0.000, 0.500, 0.000], [0.500, 0.000, 0.000], [0.747, 0.747, 0.493], [0.253, 0.253, 0.507]]
}

Entry 2:
{
  "formula": "Sc2SiBr",
  "functional": "SCAN",
  "state": "single point on PBEsol structure",
  "crystal_system": "tetragonal",
  "total_energy_ev_per_atom": -14.891,
  "raw_formation_energy_ev_per_fu": -1.616,
  "magnetic_moment_mub_per_atom": 0.181,
  "lattice_angstrom": [[-2.331, 1.662, 2.658], [-3.041, -2.004, -1.415], [3.673, -3.604, 2.604]],
  "species": ["Si", "Sc", "Sc", "Br"],
  "fractional_positions": [[0.500, 0.500, 0.000], [0.750, 0.250, 0.500], [0.000, 0.000, 0.000], [0.250, 0.750, 0.500]]
}

Entry 3:
{
  "formula": "CoNi",
  "functional": "SCAN",
  "state": "single point on PBEsol structure",
  "crystal_system": "tetragonal",
  "total_energy_ev_per_atom": -16.739,
  "e_form_ev_per_atom": 0.0001,
  "magnetic_moment_mub_per_atom": 1.272,
  "lattice_angstrom": [[3.489, 0.000, 0.000], [0.000, 3.487, 0.000], [-1.744, -1.744, 3.406]],
  "species": ["Co", "Co", "Ni", "Ni"],
  "fractional_positions": [[0.125, 0.375, 0.250], [0.875, 0.625, 0.750], [0.375, 0.125, 0.750], [0.625, 0.875, 0.250]]
}